A plane-wave DFT calculation with GGA-PBE was carried out for a relaxed structure of Ni4BH.

Geometry as CIF:
```
data_Ni4BH
_chemical_formula_sum 'Ni8 B2 H2'
_cell_length_a 5.7799
_cell_length_b 5.7799
_cell_length_c 4.5297
_cell_angle_alpha 110.38
_cell_angle_beta 110.38
_cell_angle_gamma 114.73
_symmetry_space_group_name_H-M 'P 1'
_symmetry_Int_Tables_number 1
_symmetry_space_group_name_Hall 'P 1'
loop_
_atom_site_label
_atom_site_type_symbol
_atom_site_fract_x
_atom_site_fract_y
_atom_site_fract_z
Ni1 Ni 0.0512 0.6433 0.8572
Ni2 Ni 0.2274 0.3239 0.7113
Ni3 Ni 0.3239 0.2274 0.2113
Ni4 Ni 0.3567 0.9488 0.6428
Ni5 Ni 0.6433 0.0512 0.3572
Ni6 Ni 0.6761 0.7726 0.7887
Ni7 Ni 0.7726 0.6761 0.2887
Ni8 Ni 0.9488 0.3567 0.1428
B1 B 0.3724 0.6276 0.2500
B2 B 0.6276 0.3724 0.7500
H1 H 0.0913 0.9087 0.7500
H2 H 0.9087 0.0913 0.2500
```

## Properties
- SG = C2/c, No. 15
- volume (Å³/atom) = 8.7
- ΔE to the lowest computed polymorph (eV per atom) = 0.000
- energy (eV for the cell shown) = -67.86
- mass density (g/cm3) = 7.81

A plane-wave DFT calculation with GGA-PBE was carried out for a relaxed structure of Cs2UZnS4.

Geometry as CIF:
```
data_Cs2UZnS4
_chemical_formula_sum 'Cs4 U2 Zn2 S8'
_cell_length_a 14.9668
_cell_length_b 13.4066
_cell_length_c 7.9821
_cell_angle_alpha 84.79
_cell_angle_beta 63.13
_cell_angle_gamma 32.08
_symmetry_space_group_name_H-M 'P 1'
_symmetry_Int_Tables_number 1
_symmetry_space_group_name_Hall 'P 1'
loop_
_atom_site_label
_atom_site_type_symbol
_atom_site_fract_x
_atom_site_fract_y
_atom_site_fract_z
Cs1 Cs 0.0533 0.0533 0.6967
Cs2 Cs 0.3033 0.3033 0.9467
Cs3 Cs 0.6967 0.6967 0.0533
Cs4 Cs 0.9467 0.9467 0.3033
U1 U 0.1250 0.1250 0.1250
U2 U 0.8750 0.8750 0.8750
Zn1 Zn 0.3750 0.3750 0.3750
Zn2 Zn 0.6250 0.6250 0.6250
S1 S 0.0020 0.3474 0.4397
S2 S 0.2892 0.5603 0.6526
S3 S 0.3474 0.0020 0.7108
S4 S 0.4397 0.7108 0.0020
S5 S 0.5603 0.2892 0.9980
S6 S 0.6526 0.9980 0.2892
S7 S 0.7108 0.4397 0.3474
S8 S 0.9980 0.6526 0.5603
```

## Properties
- SG = Fddd, No. 70
- volume (Å³/atom) = 37.3
- uncorrected formation energy (eV per atom) = -1.08
- energy (eV for the cell shown) = -78.79
- mass density (g/cm3) = 3.88

A plane-wave DFT calculation with GGA-PBE was carried out for a relaxed structure of NbGeNO2.

Geometry as CIF:
```
data_NbGeNO2
_chemical_formula_sum 'Nb1 Ge1 N1 O2'
_cell_length_a 3.9823
_cell_length_b 3.9823
_cell_length_c 4.1796
_cell_angle_alpha 90.00
_cell_angle_beta 90.00
_cell_angle_gamma 90.00
_symmetry_space_group_name_H-M 'P 1'
_symmetry_Int_Tables_number 1
_symmetry_space_group_name_Hall 'P 1'
loop_
_atom_site_label
_atom_site_type_symbol
_atom_site_fract_x
_atom_site_fract_y
_atom_site_fract_z
Nb1 Nb 0.0000 0.0000 0.0000
Ge1 Ge 0.5000 0.5000 0.5000
N1 N 0.0000 0.0000 0.5000
O1 O 0.0000 0.5000 0.0000
O2 O 0.5000 0.0000 0.0000
```

## Properties
- SG = P4/mmm, No. 123
- volume (Å³/atom) = 13.3
- uncorrected formation energy (eV per atom) = -1.02
- energy (eV for the cell shown) = -38.03
- mass density (g/cm3) = 5.30

A plane-wave DFT calculation with GGA-PBE was carried out for a relaxed structure of Rb2Sn4Br9.

Geometry as CIF:
```
data_Rb2Sn4Br9
_chemical_formula_sum 'Rb4 Sn8 Br18'
_cell_length_a 7.7610
_cell_length_b 7.9179
_cell_length_c 23.4880
_cell_angle_alpha 88.37
_cell_angle_beta 85.17
_cell_angle_gamma 61.25
_symmetry_space_group_name_H-M 'P 1'
_symmetry_Int_Tables_number 1
_symmetry_space_group_name_Hall 'P 1'
loop_
_atom_site_label
_atom_site_type_symbol
_atom_site_fract_x
_atom_site_fract_y
_atom_site_fract_z
Rb1 Rb 0.0009 0.0029 0.3468
Rb2 Rb 0.0485 0.9961 0.8543
Rb3 Rb 0.9515 0.0039 0.1457
Rb4 Rb 0.9991 0.9971 0.6532
Sn1 Sn 0.2789 0.3471 0.1835
Sn2 Sn 0.3260 0.3440 0.4974
Sn3 Sn 0.3349 0.3259 0.0009
Sn4 Sn 0.3732 0.2554 0.6776
Sn5 Sn 0.6268 0.7446 0.3224
Sn6 Sn 0.6651 0.6741 0.9991
Sn7 Sn 0.6740 0.6560 0.5026
Sn8 Sn 0.7211 0.6529 0.8165
Br1 Br 0.0154 0.5808 0.0856
Br2 Br 0.0180 0.6383 0.4349
Br3 Br 0.0443 0.6530 0.7581
Br4 Br 0.2552 0.6583 0.2356
Br5 Br 0.3514 0.0145 0.0727
Br6 Br 0.3597 0.5872 0.5786
Br7 Br 0.3933 0.9866 0.4183
Br8 Br 0.4001 0.6408 0.9305
Br9 Br 0.4048 0.9307 0.7401
Br10 Br 0.5952 0.0693 0.2599
Br11 Br 0.5999 0.3592 0.0695
Br12 Br 0.6067 0.0134 0.5817
Br13 Br 0.6403 0.4128 0.4214
Br14 Br 0.6486 0.9855 0.9273
Br15 Br 0.7448 0.3417 0.7644
Br16 Br 0.9557 0.3470 0.2419
Br17 Br 0.9820 0.3617 0.5651
Br18 Br 0.9846 0.4192 0.9144
```

## Properties
- SG = P-1, No. 2
- volume (Å³/atom) = 42.0
- uncorrected formation energy (eV per atom) = -0.93
- energy (eV for the cell shown) = -93.90
- mass density (g/cm3) = 3.60

A plane-wave DFT calculation with GGA-PBE was carried out for a relaxed structure of CdRh4.

Geometry as CIF:
```
data_CdRh4
_chemical_formula_sum 'Cd1 Rh4'
_cell_length_a 6.7457
_cell_length_b 6.7457
_cell_length_c 6.7457
_cell_angle_alpha 148.42
_cell_angle_beta 148.42
_cell_angle_gamma 45.26
_symmetry_space_group_name_H-M 'P 1'
_symmetry_Int_Tables_number 1
_symmetry_space_group_name_Hall 'P 1'
loop_
_atom_site_label
_atom_site_type_symbol
_atom_site_fract_x
_atom_site_fract_y
_atom_site_fract_z
Cd1 Cd 0.0000 0.0000 0.0000
Rh1 Rh 0.2500 0.7500 0.5000
Rh2 Rh 0.3992 0.3992 0.0000
Rh3 Rh 0.6008 0.6008 0.0000
Rh4 Rh 0.7500 0.2500 0.5000
```

## Properties
- SG = I4/mmm, No. 139
- volume (Å³/atom) = 16.8
- ΔE to the lowest computed polymorph (eV per atom) = 0.205
- calculated formation energy (eV per atom) = 0.244
- energy (eV for the cell shown) = -29.10
- mass density (g/cm3) = 10.37

A plane-wave DFT calculation with GGA-PBE was carried out for a relaxed structure of PmPr2Ag2Sn2.

Geometry as CIF:
```
data_PmPr2Ag2Sn2
_chemical_formula_sum 'Pm1 Pr2 Ag2 Sn2'
_cell_length_a 9.8608
_cell_length_b 9.8608
_cell_length_c 9.8608
_cell_angle_alpha 28.51
_cell_angle_beta 28.51
_cell_angle_gamma 28.51
_symmetry_space_group_name_H-M 'P 1'
_symmetry_Int_Tables_number 1
_symmetry_space_group_name_Hall 'P 1'
loop_
_atom_site_label
_atom_site_type_symbol
_atom_site_fract_x
_atom_site_fract_y
_atom_site_fract_z
Pm1 Pm 0.0000 0.0000 0.0000
Pr1 Pr 0.1281 0.1281 0.1281
Pr2 Pr 0.8719 0.8719 0.8719
Ag1 Ag 0.3972 0.3972 0.3972
Ag2 Ag 0.6028 0.6028 0.6028
Sn1 Sn 0.2637 0.2637 0.2637
Sn2 Sn 0.7363 0.7363 0.7363
```

## Properties
- SG = R-3m, No. 166
- volume (Å³/atom) = 27.6
- calculated formation energy (eV per atom) = -0.429
- energy (eV for the cell shown) = -31.02
- mass density (g/cm3) = 7.57

A plane-wave DFT calculation with GGA-PBE was carried out for a relaxed structure of CsIn2Sn2.

Geometry as CIF:
```
data_CsIn2Sn2
_chemical_formula_sum 'Cs1 In2 Sn2'
_cell_length_a 6.9832
_cell_length_b 6.9832
_cell_length_c 6.9832
_cell_angle_alpha 134.32
_cell_angle_beta 134.32
_cell_angle_gamma 66.60
_symmetry_space_group_name_H-M 'P 1'
_symmetry_Int_Tables_number 1
_symmetry_space_group_name_Hall 'P 1'
loop_
_atom_site_label
_atom_site_type_symbol
_atom_site_fract_x
_atom_site_fract_y
_atom_site_fract_z
Cs1 Cs 0.0000 0.0000 0.0000
In1 In 0.2500 0.7500 0.5000
In2 In 0.7500 0.2500 0.5000
Sn1 Sn 0.3734 0.3734 0.0000
Sn2 Sn 0.6266 0.6266 0.0000
```

## Properties
- SG = I4/mmm, No. 139
- volume (Å³/atom) = 34.3
- ΔE to the lowest computed polymorph (eV per atom) = 0.003
- calculated formation energy (eV per atom) = -0.170
- energy (eV for the cell shown) = -15.19
- mass density (g/cm3) = 5.81

A plane-wave DFT calculation with GGA-PBE was carried out for a relaxed structure of Sc7Tl2Cu2.

Geometry as CIF:
```
data_Sc7Tl2Cu2
_chemical_formula_sum 'Sc7 Tl2 Cu2'
_cell_length_a 6.4752
_cell_length_b 6.4752
_cell_length_c 6.6180
_cell_angle_alpha 90.00
_cell_angle_beta 90.00
_cell_angle_gamma 107.50
_symmetry_space_group_name_H-M 'P 1'
_symmetry_Int_Tables_number 1
_symmetry_space_group_name_Hall 'P 1'
loop_
_atom_site_label
_atom_site_type_symbol
_atom_site_fract_x
_atom_site_fract_y
_atom_site_fract_z
Sc1 Sc 0.0000 0.0000 0.0000
Sc2 Sc 0.0000 0.5000 0.2505
Sc3 Sc 0.0000 0.5000 0.7495
Sc4 Sc 0.5000 0.0000 0.2505
Sc5 Sc 0.5000 0.0000 0.7495
Sc6 Sc 0.5000 0.5000 0.2346
Sc7 Sc 0.5000 0.5000 0.7654
Tl1 Tl 0.1883 0.1883 0.5000
Tl2 Tl 0.8117 0.8117 0.5000
Cu1 Cu 0.2921 0.7079 0.0000
Cu2 Cu 0.7079 0.2921 0.0000
```

## Properties
- SG = Cmmm, No. 65
- volume (Å³/atom) = 24.1
- calculated formation energy (eV per atom) = 0.015
- energy (eV for the cell shown) = -57.09
- mass density (g/cm3) = 5.34